Computed, not measured: a geometry-optimized Pu4CuSi structure at the PBE level of DFT.

Properties
VASP energy: -11.11 eV per atom
M_tot: 89.4 μB/cell
ΔE_f (raw): 0.031 eV per atom

a b c (Å): 9.2792 11.6781 4.7088
angles (deg): 90.00 90.00 90.00
Last column: nearest neighbours and their distance in Å.
Space group Cmcm (No. 63)
Asymmetric unit:
Pu1 0.1512 0.0699 0.2500  4 Pu 2.81-3.00, 2 Si 3.06
Pu2 0.1531 0.3268 0.2500  2 Pu 2.84-3.00, 3 Cu 3.04-3.07
Cu1 0.0000 0.4431 0.7500  2 Cu 2.70, 1 Si 2.99
Si1 0.0000 0.1866 0.7500  1 Cu 2.99, 12 Pu 3.06-3.31